Material: YMnMoO6
Method: DFT, PBE with a Hubbard U
State: optimized geometry

Lattice parameters (Å, degrees): 5.402 5.402 4.447 90.00 90.00 120.00
Fractional positions:
Y (0.000, 0.000, 0.000)
Mn (0.667, 0.333, 0.500)
Mo (0.333, 0.667, 0.000)
O (0.022, 0.375, 0.243)
O (0.022, 0.648, 0.757)
O (0.352, 0.375, 0.757)
O (0.352, 0.978, 0.243)
O (0.625, 0.648, 0.243)
O (0.625, 0.978, 0.757)

Calculated values
Fermi-level density of states ... 4.194 states/eV/f.u.
DFT total energy ... -68.17 eV for the cell shown